{
  "formula": "PdPb",
  "functional": "PBE-GGA",
  "state": "relaxed",
  "crystal_system": "tetragonal",
  "sg": "No. 87",
  "magmom_total_mub_per_cell": 0.000,
  "lattice": [[10.3390, 0.0000, 0.0000], [0.0000, 10.3390, 0.0000], [0.0000, 0.0000, 3.5809]],
  "species": ["Pb", "Pb", "Pb", "Pb", "Pb", "Pb", "Pb", "Pb", "Pd", "Pd", "Pd", "Pd", "Pd", "Pd", "Pd", "Pd"],
  "fractional_positions": [[0.6967, 0.3847, 0.5000], [0.1153, 0.1967, 0.0000], [0.3847, 0.3033, 0.5000], [0.6153, 0.6967, 0.5000], [0.1967, 0.8847, 0.0000], [0.8847, 0.8033, 0.0000], [0.3033, 0.6153, 0.5000], [0.8033, 0.1153, 0.0000], [0.8836, 0.5925, 0.5000], [0.3836, 0.0925, 0.0000], [0.5925, 0.1164, 0.5000], [0.0925, 0.6164, 0.0000], [0.9075, 0.3836, 0.0000], [0.6164, 0.9075, 0.0000], [0.4075, 0.8836, 0.5000], [0.1164, 0.4075, 0.5000]]
}

---

{
  "formula": "PdPb",
  "functional": "PBE-GGA",
  "state": "relaxed",
  "crystal_system": "cubic",
  "sg": "No. 225",
  "magmom_total_mub_per_cell": 0.000,
  "lattice": [[-5.4162, -1.2631, -1.2398], [1.6778, -2.3933, -4.8913], [0.5636, -5.0144, 2.6469]],
  "species": ["Pd", "Pd", "Pd", "Pd", "Pb", "Pb", "Pb", "Pb"],
  "fractional_positions": [[0.0000, 0.5000, 0.5000], [0.5000, 0.0000, 0.5000], [0.0000, 0.0000, 0.0000], [0.5000, 0.5000, 0.0000], [0.0000, 0.5000, 0.0000], [0.5000, 0.5000, 0.5000], [0.0000, 0.0000, 0.5000], [0.5000, 0.0000, 0.0000]]
}

---

Number 1: electronic total energy -4.5361 eV per atom. Number 2: electronic total energy -4.5273 eV per atom.